# SmGePt4, relaxed, DFT GGA-PBE
# E above lowest polymorph ... 105 meV per atom
data_SmGePt4
_chemical_formula_sum 'Sm4 Ge4 Pt16'
_cell_length_a 7.637
_cell_length_b 7.637
_cell_length_c 7.637
_cell_angle_alpha 90.00
_cell_angle_beta 90.00
_cell_angle_gamma 90.00
_symmetry_space_group_name_H-M 'F -4 3 m'
_symmetry_Int_Tables_number 216
_symmetry_space_group_name_Hall 'F -4 2 3'
loop_
_atom_site_label
_atom_site_type_symbol
_atom_site_fract_x
_atom_site_fract_y
_atom_site_fract_z
Sm1 Sm 0.000 0.000 0.000
Ge1 Ge 0.250 0.250 0.250
Pt1 Pt 0.125 0.125 0.625

The following is a DFT calculation (GGA-PBE) of a relaxed structure of SmGePt2.

Geometry as CIF:
```
data_SmGePt2
_chemical_formula_sum 'Sm1 Ge1 Pt2'
_cell_length_a 3.785
_cell_length_b 4.098
_cell_length_c 5.539
_cell_angle_alpha 90.00
_cell_angle_beta 90.00
_cell_angle_gamma 90.00
_symmetry_space_group_name_H-M 'P m m m'
_symmetry_Int_Tables_number 47
loop_
_symmetry_equiv_pos_as_xyz
'x,y,z'
'-x,-y,-z'
'-x,-y,z'
'x,y,-z'
'x,-y,-z'
'-x,y,z'
'-x,y,-z'
'x,-y,z'
loop_
_atom_site_label
_atom_site_type_symbol
_atom_site_fract_x
_atom_site_fract_y
_atom_site_fract_z
Sm1 Sm 0.000 0.000 0.000
Ge1 Ge 0.500 0.000 0.500
Pt1 Pt 0.500 0.500 0.244
```

The following is a DFT calculation (GGA-PBE) of a relaxed structure of Sm2Ge3Pt3.

Geometry as CIF:
```
data_Sm2Ge3Pt3
_chemical_formula_sum 'Sm2 Ge3 Pt3'
_cell_length_a 2.899
_cell_length_b 2.899
_cell_length_c 21.076
_cell_angle_alpha 90.00
_cell_angle_beta 90.00
_cell_angle_gamma 90.00
_symmetry_space_group_name_H-M 'P 4/m m m'
_symmetry_Int_Tables_number 123
_symmetry_space_group_name_Hall '-P 4 2'
loop_
_atom_site_label
_atom_site_type_symbol
_atom_site_fract_x
_atom_site_fract_y
_atom_site_fract_z
Sm1 Sm 0.000 0.000 0.246
Ge1 Ge 0.000 0.000 0.000
Ge2 Ge 0.000 0.000 0.385
Pt1 Pt 0.000 0.000 0.116
Pt2 Pt 0.000 0.000 0.500
```

The following is a DFT calculation (GGA-PBE) of a relaxed structure of Sm3Ge7Pt2.

Geometry as CIF:
```
data_Sm3Ge7Pt2
_chemical_formula_sum 'Sm3 Ge7 Pt2'
_cell_length_a 4.424
_cell_length_b 4.285
_cell_length_c 13.251
_cell_angle_alpha 90.00
_cell_angle_beta 99.28
_cell_angle_gamma 90.00
_symmetry_space_group_name_H-M 'P 1 2/m 1'
_symmetry_Int_Tables_number 10
loop_
_symmetry_equiv_pos_as_xyz
'x,y,z'
'-x,-y,-z'
'-x,y,-z'
'x,-y,z'
loop_
_atom_site_label
_atom_site_type_symbol
_atom_site_fract_x
_atom_site_fract_y
_atom_site_fract_z
Sm1 Sm 0.000 0.000 0.000
Sm2 Sm 0.311 0.500 0.634
Ge1 Ge 0.153 0.500 0.170
Ge2 Ge 0.228 0.000 0.453
Ge3 Ge 0.410 0.000 0.829
Ge4 Ge 0.500 0.500 0.000
Pt1 Pt 0.124 0.000 0.266
```

E_tot, record by record: -6.224 -6.199 -4.884 -5.581 eV/atom
Energy relative to the elements, record by record: -0.641 -0.844 0.292 -0.701 eV/atom